(1)
{"formula": "In2Sb2Br", "functional": "PBE", "state": "relaxed", "lattice": [[8.842, 0.000, 0.000], [0.000, 8.842, 0.000], [0.000, 0.000, 3.642]], "species": ["In", "In", "In", "In", "Sb", "Sb", "Sb", "Sb", "Br", "Br"], "fractional_positions": [[0.163, 0.337, 0.000], [0.337, 0.837, 0.000], [0.663, 0.163, 0.000], [0.837, 0.663, 0.000], [0.133, 0.633, 0.500], [0.367, 0.133, 0.500], [0.633, 0.867, 0.500], [0.867, 0.367, 0.500], [0.000, 0.000, 0.000], [0.500, 0.500, 0.000]], "de_polymorph_ev_per_atom": 0.2101, "raw_formation_energy_ev_per_fu": 0.035}

=====

(2)
{"formula": "InSbBr", "functional": "PBE", "state": "relaxed", "lattice": [[3.881, 0.000, 0.000], [-1.940, 3.361, 0.000], [0.000, 0.000, 7.543]], "species": ["In", "Sb", "Br"], "fractional_positions": [[0.000, 0.000, 0.000], [0.333, 0.667, 0.255], [0.667, 0.333, 0.749]], "de_polymorph_ev_per_atom": 0.1574, "raw_formation_energy_ev_per_fu": -0.464}

=====

(3)
{"formula": "InSb2Br", "functional": "PBE", "state": "relaxed", "lattice": [[3.371, 0.000, 0.000], [0.000, 6.129, 0.000], [-0.040, 0.000, 5.864]], "species": ["In", "Sb", "Sb", "Br"], "fractional_positions": [[0.000, 0.000, 0.000], [0.413, 0.500, 0.502], [0.441, 0.000, 0.501], [0.389, 0.500, 0.002]], "de_polymorph_ev_per_atom": 0.0616, "raw_formation_energy_ev_per_fu": -0.313}

=====

(4)
{"formula": "In2SbBr", "functional": "PBE", "state": "relaxed", "lattice": [[2.274, 1.313, 7.178], [-2.274, 1.313, 7.178], [0.000, -2.626, 7.178]], "species": ["In", "In", "Sb", "Br"], "fractional_positions": [[0.238, 0.238, 0.238], [0.762, 0.762, 0.762], [0.500, 0.500, 0.500], [0.000, 0.000, 0.000]], "de_polymorph_ev_per_atom": 0.0591, "raw_formation_energy_ev_per_fu": -0.842}

=====

(5)
{"formula": "In2SbBr", "functional": "PBE", "state": "relaxed", "lattice": [[-1.742, 2.681, 6.181], [1.742, -2.681, 6.181], [1.742, 2.681, -6.181]], "species": ["In", "In", "Sb", "Br"], "fractional_positions": [[0.217, 0.217, 0.000], [0.783, 0.783, 0.000], [0.000, 0.500, 0.500], [0.500, 0.000, 0.500]], "de_polymorph_ev_per_atom": 0.2323, "raw_formation_energy_ev_per_fu": -0.149}

=====

(6)
{"formula": "In2Sb2Br", "functional": "PBE", "state": "relaxed", "lattice": [[-2.177, 2.177, 8.275], [2.177, -2.177, 8.275], [2.177, 2.177, -8.275]], "species": ["In", "In", "Sb", "Sb", "Br"], "fractional_positions": [[0.093, 0.093, 0.000], [0.907, 0.907, 0.000], [0.250, 0.750, 0.500], [0.750, 0.250, 0.500], [0.500, 0.500, 0.000]], "de_polymorph_ev_per_atom": 0.0758, "raw_formation_energy_ev_per_fu": -0.637}

=====

(7)
{"formula": "In2Sb2Br", "functional": "PBE", "state": "relaxed", "lattice": [[-2.790, 2.790, 4.977], [2.790, -2.790, 4.977], [2.790, 2.790, -4.977]], "species": ["In", "In", "Sb", "Sb", "Br"], "fractional_positions": [[0.250, 0.750, 0.500], [0.750, 0.250, 0.500], [0.142, 0.142, 0.000], [0.858, 0.858, 0.000], [0.500, 0.500, 0.000]], "de_polymorph_ev_per_atom": 0.0000, "raw_formation_energy_ev_per_fu": -1.016}

=====

(8)
{"formula": "InSb2Br", "functional": "PBE", "state": "relaxed", "lattice": [[4.874, 0.000, 0.000], [0.000, 4.498, 0.000], [-2.206, 0.000, 5.735]], "species": ["In", "Sb", "Sb", "Br"], "fractional_positions": [[0.000, 0.000, 0.000], [0.229, 0.500, 0.808], [0.771, 0.500, 0.192], [0.500, 0.000, 0.500]], "de_polymorph_ev_per_atom": 0.0090, "raw_formation_energy_ev_per_fu": -0.523}

=====

(9)
{"formula": "InSbSeBr2", "functional": "PBE", "state": "relaxed", "lattice": [[5.753, 0.000, 0.000], [0.000, 5.753, 0.000], [0.000, 0.000, 5.630]], "species": ["In", "Sb", "Se", "Br", "Br"], "fractional_positions": [[0.000, 0.000, 0.000], [0.500, 0.500, 0.500], [0.500, 0.500, 0.000], [0.000, 0.500, 0.500], [0.500, 0.000, 0.500]], "de_polymorph_ev_per_atom": 0.0000, "raw_formation_energy_ev_per_fu": -1.448}

=====

(10)
{"formula": "InSb2TeBr", "functional": "PBE", "state": "relaxed", "lattice": [[5.865, 0.000, 0.000], [0.000, 5.865, 0.000], [0.000, 0.000, 6.239]], "species": ["In", "Sb", "Sb", "Te", "Br"], "fractional_positions": [[0.000, 0.000, 0.000], [0.000, 0.500, 0.500], [0.500, 0.000, 0.500], [0.500, 0.500, 0.000], [0.500, 0.500, 0.500]], "de_polymorph_ev_per_atom": 0.1853, "raw_formation_energy_ev_per_fu": 3.862}

=====

(11)
{"formula": "InSb2TeBr", "functional": "PBE", "state": "relaxed", "lattice": [[5.708, 0.000, 0.000], [0.000, 5.708, 0.000], [0.000, 0.000, 5.601]], "species": ["In", "Sb", "Sb", "Te", "Br"], "fractional_positions": [[0.000, 0.000, 0.000], [0.000, 0.500, 0.000], [0.500, 0.000, 0.000], [0.000, 0.000, 0.500], [0.500, 0.500, 0.500]], "de_polymorph_ev_per_atom": 0.0000, "raw_formation_energy_ev_per_fu": 2.935}

=====

(12)
{"formula": "TlIn2SbBr6", "functional": "PBE", "state": "relaxed", "lattice": [[7.583, 0.000, 0.000], [0.000, 8.728, 0.000], [-6.871, 0.000, 11.321]], "species": ["Tl", "Tl", "In", "In", "In", "In", "Sb", "Sb", "Br", "Br", "Br", "Br", "Br", "Br", "Br", "Br", "Br", "Br", "Br", "Br"], "fractional_positions": [[0.000, 0.000, 0.000], [0.000, 0.500, 0.500], [0.197, 0.076, 0.731], [0.197, 0.424, 0.231], [0.803, 0.576, 0.769], [0.803, 0.924, 0.269], [0.500, 0.000, 0.500], [0.500, 0.500, 0.000], [0.147, 0.165, 0.461], [0.147, 0.335, 0.961], [0.262, 0.727, 0.418], [0.262, 0.773, 0.918], [0.404, 0.070, 0.268], [0.404, 0.430, 0.768], [0.596, 0.570, 0.232], [0.596, 0.930, 0.732], [0.738, 0.227, 0.082], [0.738, 0.273, 0.582], [0.853, 0.665, 0.039], [0.853, 0.835, 0.539]], "raw_formation_energy_ev_per_fu": -6.837}

=====

(13)
{"formula": "VIn2SbBr", "functional": "PBE", "state": "relaxed", "lattice": [[5.525, 0.000, 0.000], [0.000, 5.525, 0.000], [0.000, 0.000, 5.009]], "species": ["V", "In", "In", "Sb", "Br"], "fractional_positions": [[0.000, 0.000, 0.000], [0.000, 0.500, 0.000], [0.500, 0.000, 0.000], [0.000, 0.000, 0.500], [0.500, 0.500, 0.500]], "raw_formation_energy_ev_per_fu": 0.438}

=====

(14)
{"formula": "YIn2SbBr", "functional": "PBE", "state": "relaxed", "lattice": [[5.919, 0.000, 0.000], [0.000, 5.919, 0.000], [0.000, 0.000, 5.315]], "species": ["Y", "In", "In", "Sb", "Br"], "fractional_positions": [[0.000, 0.000, 0.000], [0.000, 0.500, 0.500], [0.500, 0.000, 0.500], [0.500, 0.500, 0.000], [0.000, 0.000, 0.500]], "raw_formation_energy_ev_per_fu": 0.869}

=====

(15)
{"formula": "ScIn2Br", "functional": "PBE", "state": "relaxed", "lattice": [[-1.671, 2.861, 5.468], [1.671, -2.861, 5.468], [1.671, 2.861, -5.468]], "species": ["Sc", "In", "In", "Br"], "fractional_positions": [[0.000, 0.000, 0.000], [0.240, 0.740, 0.500], [0.511, 0.511, 0.000], [0.809, 0.309, 0.500]], "de_polymorph_ev_per_atom": 0.1414, "raw_formation_energy_ev_per_fu": -1.713}

=====

(16)
{"formula": "ScInBr4", "functional": "PBE", "state": "relaxed", "lattice": [[8.176, -3.355, 0.000], [8.176, 3.355, 0.000], [-1.728, 0.000, 7.253]], "species": ["Sc", "Sc", "In", "In", "Br", "Br", "Br", "Br", "Br", "Br", "Br", "Br"], "fractional_positions": [[0.000, 0.500, 0.000], [0.500, 0.000, 0.500], [0.228, 0.772, 0.750], [0.772, 0.228, 0.250], [0.134, 0.252, 0.673], [0.252, 0.134, 0.173], [0.301, 0.498, 0.044], [0.498, 0.301, 0.544], [0.502, 0.699, 0.456], [0.699, 0.502, 0.956], [0.748, 0.866, 0.827], [0.866, 0.748, 0.327]], "de_polymorph_ev_per_atom": 0.0178, "raw_formation_energy_ev_per_fu": -7.908}

=====

(17)
{"formula": "ScIn2Br", "functional": "PBE", "state": "relaxed", "lattice": [[-2.121, 2.121, 5.468], [2.121, -2.121, 5.468], [2.121, 2.121, -5.468]], "species": ["Sc", "In", "In", "Br"], "fractional_positions": [[0.000, 0.000, 0.000], [0.250, 0.750, 0.500], [0.750, 0.250, 0.500], [0.500, 0.500, 0.000]], "de_polymorph_ev_per_atom": 0.3249, "raw_formation_energy_ev_per_fu": -0.979}

=====

(18)
{"formula": "ScIn2Br", "functional": "PBE", "state": "relaxed", "lattice": [[1.916, -2.868, 0.000], [1.916, 2.868, 0.000], [0.000, 0.000, 9.386]], "species": ["Sc", "In", "In", "Br"], "fractional_positions": [[0.000, 0.000, 0.000], [0.500, 0.500, 0.246], [0.500, 0.500, 0.754], [0.000, 0.000, 0.500]], "de_polymorph_ev_per_atom": 0.4043, "raw_formation_energy_ev_per_fu": -0.662}

=====

(19)
{"formula": "ScIn2Br", "functional": "PBE", "state": "relaxed", "lattice": [[3.351, 0.000, 0.000], [0.000, 5.240, 0.000], [0.000, 0.000, 5.748]], "species": ["Sc", "In", "In", "Br"], "fractional_positions": [[0.000, 0.000, 0.000], [0.000, 0.500, 0.500], [0.500, 0.000, 0.500], [0.500, 0.500, 0.000]], "de_polymorph_ev_per_atom": 0.2626, "raw_formation_energy_ev_per_fu": -1.229}

=====

(20)
{"formula": "ScIn2Br", "functional": "PBE", "state": "relaxed", "lattice": [[3.646, -4.082, 0.000], [3.646, 4.082, 0.000], [0.000, 0.000, 3.417]], "species": ["Sc", "In", "In", "Br"], "fractional_positions": [[0.000, 0.000, 0.000], [0.000, 0.500, 0.500], [0.500, 0.000, 0.500], [0.500, 0.500, 0.000]], "de_polymorph_ev_per_atom": 0.2777, "raw_formation_energy_ev_per_fu": -1.168}

=====

(21)
{"formula": "Sc2InBr6", "functional": "PBE", "state": "relaxed", "lattice": [[6.893, 0.000, 0.000], [-3.447, 5.970, 0.000], [0.000, 0.000, 7.557]], "species": ["Sc", "Sc", "In", "Br", "Br", "Br", "Br", "Br", "Br"], "fractional_positions": [[0.333, 0.667, 0.000], [0.667, 0.333, 0.000], [0.000, 0.000, 0.500], [0.000, 0.361, 0.209], [0.000, 0.639, 0.791], [0.361, 0.000, 0.209], [0.361, 0.361, 0.791], [0.639, 0.000, 0.791], [0.639, 0.639, 0.209]], "raw_formation_energy_ev_per_fu": -12.743}

=====

(22)
{"formula": "ScInBr", "functional": "PBE", "state": "relaxed", "lattice": [[0.000, 3.508, 3.508], [3.508, 0.000, 3.508], [3.508, 3.508, 0.000]], "species": ["Sc", "In", "Br"], "fractional_positions": [[0.000, 0.000, 0.000], [0.250, 0.250, 0.250], [0.750, 0.750, 0.750]], "de_polymorph_ev_per_atom": 0.6538, "raw_formation_energy_ev_per_fu": -0.158}

=====

(23)
{"formula": "Sc2In3Br9", "functional": "PBE", "state": "relaxed", "lattice": [[6.640, 3.833, 6.464], [-6.640, 3.833, 6.464], [0.000, -7.667, 6.464]], "species": ["Sc", "Sc", "Sc", "Sc", "In", "In", "In", "In", "In", "In", "Br", "Br", "Br", "Br", "Br", "Br", "Br", "Br", "Br", "Br", "Br", "Br", "Br", "Br", "Br", "Br", "Br", "Br"], "fractional_positions": [[0.152, 0.152, 0.152], [0.348, 0.348, 0.348], [0.652, 0.652, 0.652], [0.848, 0.848, 0.848], [0.038, 0.750, 0.462], [0.250, 0.538, 0.962], [0.462, 0.038, 0.750], [0.538, 0.962, 0.250], [0.750, 0.462, 0.038], [0.962, 0.250, 0.538], [0.071, 0.921, 0.728], [0.079, 0.272, 0.929], [0.094, 0.406, 0.250], [0.228, 0.421, 0.571], [0.250, 0.094, 0.406], [0.272, 0.929, 0.079], [0.406, 0.250, 0.094], [0.421, 0.571, 0.228], [0.429, 0.772, 0.579], [0.571, 0.228, 0.421], [0.579, 0.429, 0.772], [0.594, 0.750, 0.906], [0.728, 0.071, 0.921], [0.750, 0.906, 0.594], [0.772, 0.579, 0.429], [0.906, 0.594, 0.750], [0.921, 0.728, 0.071], [0.929, 0.079, 0.272]], "raw_formation_energy_ev_per_fu": -17.367}

=====

(24)
{"formula": "ScInBr", "functional": "PBE", "state": "relaxed", "lattice": [[3.514, 0.000, 0.000], [-1.757, 3.043, 0.000], [0.000, 0.000, 7.726]], "species": ["Sc", "In", "Br"], "fractional_positions": [[0.000, 0.000, 0.000], [0.333, 0.667, 0.704], [0.667, 0.333, 0.234]], "de_polymorph_ev_per_atom": 0.0000, "raw_formation_energy_ev_per_fu": -2.120}

=====

(25)
{"formula": "ScInBr", "functional": "PBE", "state": "relaxed", "lattice": [[-1.671, 1.671, 7.632], [1.671, -1.671, 7.632], [1.671, 1.671, -7.632]], "species": ["Sc", "In", "Br"], "fractional_positions": [[0.000, 0.000, 0.000], [0.365, 0.365, 0.000], [0.607, 0.607, 0.000]], "de_polymorph_ev_per_atom": 0.0925, "raw_formation_energy_ev_per_fu": -1.842}

=====

(26)
{"formula": "ScInBr", "functional": "PBE", "state": "relaxed", "lattice": [[4.805, 0.000, 0.000], [-2.403, 4.162, 0.000], [0.000, 0.000, 3.725]], "species": ["Sc", "In", "Br"], "fractional_positions": [[0.000, 0.000, 0.000], [0.333, 0.667, 0.500], [0.667, 0.333, 0.000]], "de_polymorph_ev_per_atom": 0.2920, "raw_formation_energy_ev_per_fu": -1.244}

=====

(27)
{"formula": "ScIn2Br", "functional": "PBE", "state": "relaxed", "lattice": [[0.000, 3.793, 3.793], [3.793, 0.000, 3.793], [3.793, 3.793, 0.000]], "species": ["Sc", "In", "In", "Br"], "fractional_positions": [[0.000, 0.000, 0.000], [0.250, 0.250, 0.250], [0.750, 0.750, 0.750], [0.500, 0.500, 0.500]], "de_polymorph_ev_per_atom": 0.6426, "raw_formation_energy_ev_per_fu": 0.292}

=====

| no. | raw total energy (eV/atom) |
| --- | --- |
| 1 | -3.07 |
| 2 | -3.00 |
| 3 | -3.24 |
| 4 | -3.03 |
| 5 | -2.86 |
| 6 | -3.21 |
| 7 | -3.28 |
| 8 | -3.29 |
| 9 | -3.03 |
| 10 | -2.39 |
| 11 | -2.57 |
| 12 | -2.88 |
| 13 | -3.99 |
| 14 | -3.37 |
| 15 | -3.80 |
| 16 | -3.94 |
| 17 | -3.62 |
| 18 | -3.54 |
| 19 | -3.68 |
| 20 | -3.66 |
| 21 | -4.24 |
| 22 | -3.63 |
| 23 | -3.81 |
| 24 | -4.29 |
| 25 | -4.20 |
| 26 | -4.00 |
| 27 | -3.30 |